[1]
## Ta4Mo2Pb3N3 (PBE)

Data for a geometry-optimized Ta4Mo2Pb3N3 structure.

Properties
**V**: 16.25 A^3/atom
**Calculated total energy**: -8.846 eV/atom
**SG**: C2/c (15)

a b c (Å): 5.747 5.747 14.108
angles (deg): 101.51 101.51 59.31
Fractional coordinates of all 24 atoms:
Ta (0.000, 0.211, 0.075)
Ta (0.000, 0.789, 0.925)
Ta (0.168, 0.305, 0.425)
Ta (0.211, 0.000, 0.575)
Ta (0.305, 0.168, 0.925)
Ta (0.695, 0.832, 0.075)
Ta (0.789, 0.000, 0.425)
Ta (0.832, 0.695, 0.575)
Mo (0.380, 0.548, 0.080)
Mo (0.452, 0.620, 0.420)
Mo (0.548, 0.380, 0.580)
Mo (0.620, 0.452, 0.920)
Pb (0.078, 0.922, 0.250)
Pb (0.253, 0.411, 0.746)
Pb (0.411, 0.253, 0.246)
Pb (0.589, 0.747, 0.754)
Pb (0.747, 0.589, 0.254)
Pb (0.922, 0.078, 0.750)
N (0.000, 0.500, 0.000)
N (0.154, 0.669, 0.505)
N (0.331, 0.846, 0.995)
N (0.500, 0.000, 0.500)
N (0.669, 0.154, 0.005)
N (0.846, 0.331, 0.495)


[2]
## SrTl2Au (PBE)

Data for a geometry-optimized SrTl2Au structure.

Properties
**V**: 26.76 A^3/atom
**Calculated total energy**: -2.744 eV/atom
**SG**: F-43m (216)

a b c (Å): 7.537 7.537 7.537
angles (deg): 90.00 90.00 90.00
Fractional coordinates of all 16 atoms:
Sr (0.000, 0.000, 0.000)
Sr (0.000, 0.500, 0.500)
Sr (0.500, 0.000, 0.500)
Sr (0.500, 0.500, 0.000)
Tl (0.000, 0.000, 0.500)
Tl (0.000, 0.500, 0.000)
Tl (0.250, 0.250, 0.750)
Tl (0.250, 0.750, 0.250)
Tl (0.500, 0.000, 0.000)
Tl (0.500, 0.500, 0.500)
Tl (0.750, 0.250, 0.250)
Tl (0.750, 0.750, 0.750)
Au (0.250, 0.250, 0.250)
Au (0.250, 0.750, 0.750)
Au (0.750, 0.250, 0.750)
Au (0.750, 0.750, 0.250)


[3]
## SrNdCuTe2S (PBE)

Data for a geometry-optimized SrNdCuTe2S structure.

Properties
**V**: 27.50 A^3/atom
**Calculated total energy**: -4.772 eV/atom
**SG**: Cmcm (63)

a b c (Å): 7.550 7.550 10.748
angles (deg): 90.00 90.00 147.41
Fractional coordinates of all 12 atoms:
Sr (0.219, 0.781, 0.750)
Sr (0.781, 0.219, 0.250)
Nd (0.500, 0.500, 0.000)
Nd (0.500, 0.500, 0.500)
Cu (0.022, 0.978, 0.250)
Cu (0.978, 0.022, 0.750)
Te (0.150, 0.850, 0.071)
Te (0.150, 0.850, 0.429)
Te (0.850, 0.150, 0.571)
Te (0.850, 0.150, 0.929)
S (0.434, 0.566, 0.250)
S (0.566, 0.434, 0.750)


[4]
## ZrPaCo (PBE)

Data for a geometry-optimized ZrPaCo structure.

Properties
**V**: 20.86 A^3/atom
**Calculated total energy**: -7.714 eV/atom
**E_form**: 2.01 eV per formula unit
**SG**: F-43m (216)
**Relative energy among the computed polymorphs**: 951.0 meV/atom

a b c (Å): 6.303 6.303 6.303
angles (deg): 90.00 90.00 90.00
Fractional coordinates of all 12 atoms:
Zr (0.000, 0.000, 0.000)
Zr (0.000, 0.500, 0.500)
Zr (0.500, 0.000, 0.500)
Zr (0.500, 0.500, 0.000)
Pa (0.250, 0.250, 0.750)
Pa (0.250, 0.750, 0.250)
Pa (0.750, 0.250, 0.250)
Pa (0.750, 0.750, 0.750)
Co (0.000, 0.000, 0.500)
Co (0.000, 0.500, 0.000)
Co (0.500, 0.000, 0.000)
Co (0.500, 0.500, 0.500)


[5]
## Na2PdS8O26 (PBE)

Data for a geometry-optimized Na2PdS8O26 structure.

Properties
**V**: 13.05 A^3/atom
**Calculated total energy**: -5.784 eV/atom
**SG**: P2_1/c (14)

a b c (Å): 6.875 15.764 9.044
angles (deg): 90.00 99.78 90.00
Fractional coordinates of all 74 atoms:
Na (0.249, 0.121, 0.394)
Na (0.249, 0.379, 0.894)
Na (0.751, 0.621, 0.106)
Na (0.751, 0.879, 0.606)
Pd (0.500, 0.000, 0.000)
Pd (0.500, 0.500, 0.500)
S (0.041, 0.587, 0.806)
S (0.041, 0.913, 0.306)
S (0.204, 0.153, 0.964)
S (0.204, 0.347, 0.464)
S (0.282, 0.611, 0.251)
S (0.282, 0.889, 0.751)
S (0.347, 0.707, 0.797)
S (0.347, 0.793, 0.297)
S (0.653, 0.207, 0.703)
S (0.653, 0.293, 0.203)
S (0.718, 0.111, 0.249)
S (0.718, 0.389, 0.749)
S (0.796, 0.653, 0.536)
S (0.796, 0.847, 0.036)
S (0.959, 0.087, 0.694)
S (0.959, 0.413, 0.194)
O (0.009, 0.092, 0.871)
O (0.009, 0.408, 0.371)
O (0.098, 0.631, 0.160)
O (0.098, 0.869, 0.660)
O (0.132, 0.083, 0.628)
O (0.132, 0.417, 0.128)
O (0.134, 0.680, 0.852)
O (0.134, 0.820, 0.352)
O (0.175, 0.140, 0.115)
O (0.175, 0.360, 0.615)
O (0.179, 0.235, 0.897)
O (0.179, 0.265, 0.397)
O (0.193, 0.524, 0.836)
O (0.193, 0.976, 0.336)
O (0.258, 0.556, 0.379)
O (0.258, 0.944, 0.879)
O (0.313, 0.705, 0.638)
O (0.313, 0.795, 0.138)
O (0.355, 0.701, 0.359)
O (0.355, 0.799, 0.859)
O (0.379, 0.111, 0.920)
O (0.379, 0.389, 0.420)
O (0.449, 0.592, 0.180)
O (0.449, 0.908, 0.680)
O (0.500, 0.161, 0.612)
O (0.500, 0.339, 0.112)
O (0.500, 0.661, 0.888)
O (0.500, 0.839, 0.388)
O (0.551, 0.092, 0.320)
O (0.551, 0.408, 0.820)
O (0.621, 0.611, 0.580)
O (0.621, 0.889, 0.080)
O (0.645, 0.201, 0.141)
O (0.645, 0.299, 0.641)
O (0.687, 0.205, 0.862)
O (0.687, 0.295, 0.362)
O (0.742, 0.056, 0.121)
O (0.742, 0.444, 0.621)
O (0.807, 0.024, 0.664)
O (0.807, 0.476, 0.164)
O (0.821, 0.735, 0.603)
O (0.821, 0.765, 0.103)
O (0.825, 0.640, 0.385)
O (0.825, 0.860, 0.885)
O (0.866, 0.180, 0.648)
O (0.866, 0.320, 0.148)
O (0.868, 0.583, 0.872)
O (0.868, 0.917, 0.372)
O (0.902, 0.131, 0.340)
O (0.902, 0.369, 0.840)
O (0.991, 0.592, 0.629)
O (0.991, 0.908, 0.129)


[6]
## BaPaBe (PBE)

Data for a geometry-optimized BaPaBe structure.

Properties
**V**: 28.26 A^3/atom
**Calculated total energy**: -3.941 eV/atom
**SG**: F-43m (216)
**Relative energy among the computed polymorphs**: 0.0 meV/atom

a b c (Å): 6.974 6.974 6.974
angles (deg): 90.00 90.00 90.00
Fractional coordinates of all 12 atoms:
Ba (0.000, 0.000, 0.000)
Ba (0.000, 0.500, 0.500)
Ba (0.500, 0.000, 0.500)
Ba (0.500, 0.500, 0.000)
Pa (0.000, 0.000, 0.500)
Pa (0.000, 0.500, 0.000)
Pa (0.500, 0.000, 0.000)
Pa (0.500, 0.500, 0.500)
Be (0.250, 0.250, 0.250)
Be (0.250, 0.750, 0.750)
Be (0.750, 0.250, 0.750)
Be (0.750, 0.750, 0.250)


[7]
## ScGa2CuIr4 (PBE)

Data for a geometry-optimized ScGa2CuIr4 structure.

Properties
**V**: 14.48 A^3/atom
**Calculated total energy**: -6.928 eV/atom
**SG**: P4/mmm (123)

a b c (Å): 4.340 4.340 6.150
angles (deg): 90.00 90.00 90.00
Fractional coordinates of all 8 atoms:
Sc (0.000, 0.000, 0.000)
Ga (0.000, 0.000, 0.500)
Ga (0.500, 0.500, 0.000)
Cu (0.500, 0.500, 0.500)
Ir (0.000, 0.500, 0.262)
Ir (0.000, 0.500, 0.738)
Ir (0.500, 0.000, 0.262)
Ir (0.500, 0.000, 0.738)


[8]
## TlCu7 (PBE)

Data for a geometry-optimized TlCu7 structure.

Properties
**V**: 17.78 A^3/atom
**Calculated total energy**: -3.389 eV/atom
**SG**: P4/nmm (129)
**Relative energy among the computed polymorphs**: 48.1 meV/atom

a b c (Å): 2.727 2.727 38.254
angles (deg): 90.00 90.00 90.00
Fractional coordinates of all 16 atoms:
Tl (0.250, 0.250, 0.165)
Tl (0.750, 0.750, 0.835)
Cu (0.250, 0.250, 0.270)
Cu (0.250, 0.250, 0.353)
Cu (0.250, 0.250, 0.437)
Cu (0.250, 0.250, 0.521)
Cu (0.250, 0.250, 0.605)
Cu (0.250, 0.250, 0.689)
Cu (0.250, 0.250, 0.772)
Cu (0.750, 0.750, 0.228)
Cu (0.750, 0.750, 0.311)
Cu (0.750, 0.750, 0.395)
Cu (0.750, 0.750, 0.479)
Cu (0.750, 0.750, 0.563)
Cu (0.750, 0.750, 0.647)
Cu (0.750, 0.750, 0.730)


Question: The lowest V belongs to which entry?
Answer: Na2PdS8O26


Question: Among the records above, which one has the lowest V?
Answer: Na2PdS8O26


Question: V of number 7 (ScGa2CuIr4)?
Answer: 14.48 A^3/atom